Entry 1:
The following is a PBE-GGA calculation of a relaxed structure of Mg5GaAu4, from Alexandria via LeMat-Bulk.

Cell: 3.386 3.386 15.872 Å, 90.00 90.00 90.00°
Fractional coordinates of all 10 atoms:
Mg (0.000, 0.000, 0.000)
Mg (0.000, 0.000, 0.200)
Mg (0.000, 0.000, 0.397)
Mg (0.000, 0.000, 0.603)
Mg (0.000, 0.000, 0.800)
Ga (0.500, 0.500, 0.500)
Au (0.500, 0.500, 0.100)
Au (0.500, 0.500, 0.302)
Au (0.500, 0.500, 0.698)
Au (0.500, 0.500, 0.900)

## Properties
Space-group type: No. 123
Spin magnetization, μB per formula unit: 0.000
Calculated formation energy, eV/atom: -0.523
DOS at the Fermi energy, states/eV/f.u.: 1.6

=====

Entry 2:
The following is a PBE-GGA calculation of a relaxed structure of Mg4Ga3Au2, from Alexandria via LeMat-Bulk.

Cell: 4.528 5.546 7.549 Å, 108.84 101.24 92.96°
Fractional coordinates of all 9 atoms:
Mg (0.098, 0.347, 0.143)
Mg (0.276, 0.768, 0.581)
Mg (0.724, 0.232, 0.419)
Mg (0.902, 0.653, 0.857)
Ga (0.330, 0.330, 0.702)
Ga (0.500, 0.000, 0.000)
Ga (0.670, 0.670, 0.298)
Au (0.158, 0.905, 0.249)
Au (0.842, 0.095, 0.751)

## Properties
Space-group type: No. 2
Spin magnetization, μB per formula unit: 0.000
Calculated formation energy, eV/atom: -0.294
DOS at the Fermi energy, states/eV/f.u.: 2.0

=====

Entry 3:
The following is a PBE-GGA calculation of a relaxed structure of MgGaAu4, from Alexandria via LeMat-Bulk.

Cell: 3.735 4.339 7.371 Å, 90.00 90.00 90.00°
Fractional coordinates of all 6 atoms:
Mg (0.000, 0.000, 0.000)
Ga (0.500, 0.500, 0.500)
Au (0.000, 0.500, 0.232)
Au (0.000, 0.500, 0.768)
Au (0.500, 0.000, 0.290)
Au (0.500, 0.000, 0.710)

## Properties
Space-group type: No. 47
Spin magnetization, μB per formula unit: 0.000
Offset from the most stable computed form, meV/atom: 74
Calculated formation energy, eV/atom: -0.227
DOS at the Fermi energy, states/eV/f.u.: 1.7

=====

Entry 4:
The following is a PBE-GGA calculation of a relaxed structure of Mg2GaAu2, from Alexandria via LeMat-Bulk.

Cell: 7.259 7.259 3.629 Å, 90.00 90.00 90.00°
Fractional coordinates of all 10 atoms:
Mg (0.156, 0.344, 0.000)
Mg (0.344, 0.844, 0.000)
Mg (0.656, 0.156, 0.000)
Mg (0.844, 0.656, 0.000)
Ga (0.000, 0.000, 0.500)
Ga (0.500, 0.500, 0.500)
Au (0.144, 0.644, 0.500)
Au (0.356, 0.144, 0.500)
Au (0.644, 0.856, 0.500)
Au (0.856, 0.356, 0.500)

## Properties
Space-group type: No. 127
Spin magnetization, μB per formula unit: 0.000
Offset from the most stable computed form, meV/atom: 0
Calculated formation energy, eV/atom: -0.445
DOS at the Fermi energy, states/eV/f.u.: 1.3

=====

Entry 5:
The following is a PBE-GGA calculation of a relaxed structure of MgGa2Au8, from Alexandria via LeMat-Bulk.

Cell: 4.888 6.213 7.498 Å, 108.81 105.61 98.58°
Fractional coordinates of all 11 atoms:
Mg (0.000, 0.000, 0.000)
Ga (0.265, 0.374, 0.682)
Ga (0.735, 0.626, 0.318)
Au (0.185, 0.964, 0.379)
Au (0.212, 0.444, 0.337)
Au (0.293, 0.651, 0.044)
Au (0.370, 0.860, 0.760)
Au (0.630, 0.140, 0.240)
Au (0.707, 0.349, 0.956)
Au (0.788, 0.556, 0.663)
Au (0.815, 0.036, 0.621)

## Properties
Space-group type: No. 2
Spin magnetization, μB per formula unit: 0.000
Calculated formation energy, eV/atom: -0.217
DOS at the Fermi energy, states/eV/f.u.: 2.9

=====

Entry 6:
The following is a PBE-GGA calculation of a relaxed structure of Mg3GaAu, from Alexandria via LeMat-Bulk.

Cell: 5.783 5.783 14.503 Å, 105.62 105.62 62.48°
Fractional coordinates of all 20 atoms:
Mg (0.110, 0.272, 0.800)
Mg (0.124, 0.388, 0.600)
Mg (0.175, 0.783, 0.929)
Mg (0.217, 0.825, 0.571)
Mg (0.272, 0.110, 0.300)
Mg (0.388, 0.124, 0.100)
Mg (0.612, 0.876, 0.900)
Mg (0.728, 0.890, 0.700)
Mg (0.783, 0.175, 0.429)
Mg (0.825, 0.217, 0.071)
Mg (0.876, 0.612, 0.400)
Mg (0.890, 0.728, 0.200)
Ga (0.321, 0.652, 0.363)
Ga (0.348, 0.679, 0.137)
Ga (0.652, 0.321, 0.863)
Ga (0.679, 0.348, 0.637)
Au (0.000, 0.500, 0.000)
Au (0.292, 0.708, 0.750)
Au (0.500, 0.000, 0.500)
Au (0.708, 0.292, 0.250)

## Properties
Space-group type: No. 15
Spin magnetization, μB per formula unit: 0.000
Offset from the most stable computed form, meV/atom: 48
Calculated formation energy, eV/atom: -0.252
DOS at the Fermi energy, states/eV/f.u.: 1.7

=====

Entry 7:
The following is a PBE-GGA calculation of a relaxed structure of Mg4GaAu, from Alexandria via LeMat-Bulk.

Cell: 4.741 4.741 8.906 Å, 111.86 111.86 44.66°
Fractional coordinates of all 6 atoms:
Mg (0.146, 0.146, 0.357)
Mg (0.351, 0.351, 0.151)
Mg (0.649, 0.649, 0.849)
Mg (0.854, 0.854, 0.643)
Ga (0.000, 0.000, 0.000)
Au (0.500, 0.500, 0.500)

## Properties
Space-group type: No. 12
Spin magnetization, μB per formula unit: 0.000
Offset from the most stable computed form, meV/atom: 3
Calculated formation energy, eV/atom: -0.249
DOS at the Fermi energy, states/eV/f.u.: 1.5

=====

Entry 8:
The following is a PBE-GGA calculation of a relaxed structure of Mg3GaAu2, from Alexandria via LeMat-Bulk.

Cell: 3.367 3.367 9.731 Å, 90.00 90.00 90.00°
Fractional coordinates of all 6 atoms:
Mg (0.000, 0.000, 0.000)
Mg (0.000, 0.000, 0.328)
Mg (0.000, 0.000, 0.672)
Ga (0.500, 0.500, 0.500)
Au (0.500, 0.500, 0.168)
Au (0.500, 0.500, 0.832)

## Properties
Space-group type: No. 123
Spin magnetization, μB per formula unit: 0.000
Offset from the most stable computed form, meV/atom: 0
Calculated formation energy, eV/atom: -0.459
DOS at the Fermi energy, states/eV/f.u.: 1.9

=====

Entry 9:
The following is a PBE-GGA calculation of a relaxed structure of MgGa2Au2, from Alexandria via LeMat-Bulk.

Cell: 7.082 7.082 7.082 Å, 148.66 148.66 44.91°
Fractional coordinates of all 5 atoms:
Mg (0.000, 0.000, 0.000)
Ga (0.250, 0.750, 0.500)
Ga (0.750, 0.250, 0.500)
Au (0.396, 0.396, 0.000)
Au (0.604, 0.604, 0.000)

## Properties
Space-group type: No. 139
Spin magnetization, μB per formula unit: 0.000
Offset from the most stable computed form, meV/atom: 76
Calculated formation energy, eV/atom: -0.280
DOS at the Fermi energy, states/eV/f.u.: 2.3

=====

Entry 10:
The following is a PBE-GGA calculation of a relaxed structure of Mg2GaAu2, from Alexandria via LeMat-Bulk.

Cell: 5.627 5.627 9.309 Å, 111.07 111.07 45.15°
Fractional coordinates of all 10 atoms:
Mg (0.002, 0.002, 0.330)
Mg (0.170, 0.170, 0.079)
Mg (0.830, 0.830, 0.921)
Mg (0.998, 0.998, 0.670)
Ga (0.291, 0.291, 0.646)
Ga (0.709, 0.709, 0.354)
Au (0.357, 0.357, 0.392)
Au (0.458, 0.458, 0.127)
Au (0.542, 0.542, 0.873)
Au (0.643, 0.643, 0.608)

## Properties
Space-group type: No. 12
Spin magnetization, μB per formula unit: 0.000
Offset from the most stable computed form, meV/atom: 7
Calculated formation energy, eV/atom: -0.439
DOS at the Fermi energy, states/eV/f.u.: 1.4

=====

Entry 11:
The following is a PBE-GGA calculation of a relaxed structure of Mg2GaAu4, from Alexandria via LeMat-Bulk.

Cell: 7.693 7.693 7.693 Å, 143.22 143.22 53.00°
Fractional coordinates of all 7 atoms:
Mg (0.121, 0.121, 0.000)
Mg (0.879, 0.879, 0.000)
Ga (0.500, 0.500, 0.000)
Au (0.000, 0.500, 0.500)
Au (0.310, 0.310, 0.000)
Au (0.500, 0.000, 0.500)
Au (0.690, 0.690, 0.000)

## Properties
Space-group type: No. 139
Spin magnetization, μB per formula unit: 0.000
Offset from the most stable computed form, meV/atom: 310
Calculated formation energy, eV/atom: -0.044
DOS at the Fermi energy, states/eV/f.u.: 2.0

=====

Entry 12:
The following is a PBE-GGA calculation of a relaxed structure of Mg2Ga2Au5, from Alexandria via LeMat-Bulk.

Cell: 8.144 8.144 6.480 Å, 90.00 90.00 52.57°
Fractional coordinates of all 18 atoms:
Mg (0.247, 0.247, 0.000)
Mg (0.253, 0.253, 0.500)
Mg (0.747, 0.747, 0.500)
Mg (0.753, 0.753, 0.000)
Ga (0.141, 0.859, 0.605)
Ga (0.359, 0.641, 0.105)
Ga (0.641, 0.359, 0.895)
Ga (0.859, 0.141, 0.395)
Au (0.000, 0.000, 0.000)
Au (0.091, 0.606, 0.252)
Au (0.106, 0.591, 0.752)
Au (0.394, 0.909, 0.252)
Au (0.409, 0.894, 0.752)
Au (0.500, 0.500, 0.500)
Au (0.591, 0.106, 0.248)
Au (0.606, 0.091, 0.748)
Au (0.894, 0.409, 0.248)
Au (0.909, 0.394, 0.748)

## Properties
Space-group type: No. 64
Spin magnetization, μB per formula unit: 0.000
Calculated formation energy, eV/atom: -0.298
DOS at the Fermi energy, states/eV/f.u.: 3.1

=====

Entry 13:
The following is a PBE-GGA calculation of a relaxed structure of NaMg2GaAu4, from Alexandria via LeMat-Bulk.

Cell: 8.159 8.159 8.159 Å, 33.43 33.43 33.43°
Fractional coordinates of all 8 atoms:
Na (0.000, 0.000, 0.000)
Mg (0.254, 0.254, 0.254)
Mg (0.746, 0.746, 0.746)
Ga (0.500, 0.500, 0.500)
Au (0.130, 0.130, 0.130)
Au (0.383, 0.383, 0.383)
Au (0.617, 0.617, 0.617)
Au (0.870, 0.870, 0.870)

## Properties
Space-group type: No. 166
Spin magnetization, μB per formula unit: 0.000
Calculated formation energy, eV/atom: -0.397
DOS at the Fermi energy, states/eV/f.u.: 1.8

=====

Entry 14:
The following is a PBE-GGA calculation of a relaxed structure of Na2MgGa2Au5, from Alexandria via LeMat-Bulk.

Cell: 10.946 10.946 3.333 Å, 90.00 90.00 90.00°
Fractional coordinates of all 20 atoms:
Na (0.172, 0.328, 0.000)
Na (0.328, 0.828, 0.000)
Na (0.672, 0.172, 0.000)
Na (0.828, 0.672, 0.000)
Mg (0.000, 0.000, 0.000)
Mg (0.500, 0.500, 0.000)
Ga (0.132, 0.632, 0.000)
Ga (0.368, 0.132, 0.000)
Ga (0.632, 0.868, 0.000)
Ga (0.868, 0.368, 0.000)
Au (0.000, 0.500, 0.500)
Au (0.064, 0.807, 0.500)
Au (0.193, 0.064, 0.500)
Au (0.307, 0.564, 0.500)
Au (0.436, 0.307, 0.500)
Au (0.500, 0.000, 0.500)
Au (0.564, 0.693, 0.500)
Au (0.693, 0.436, 0.500)
Au (0.807, 0.936, 0.500)
Au (0.936, 0.193, 0.500)

## Properties
Space-group type: No. 127
Spin magnetization, μB per formula unit: 0.000
Calculated formation energy, eV/atom: -0.349
DOS at the Fermi energy, states/eV/f.u.: 2.4

=====

Entry 15:
The following is a PBE-GGA calculation of a relaxed structure of Na2MgGaAu6, from Alexandria via LeMat-Bulk.

Cell: 7.124 7.124 7.124 Å, 60.00 60.00 60.00°
Fractional coordinates of all 10 atoms:
Na (0.250, 0.250, 0.250)
Na (0.750, 0.750, 0.750)
Mg (0.000, 0.000, 0.000)
Ga (0.500, 0.500, 0.500)
Au (0.253, 0.253, 0.747)
Au (0.253, 0.747, 0.253)
Au (0.253, 0.747, 0.747)
Au (0.747, 0.253, 0.253)
Au (0.747, 0.253, 0.747)
Au (0.747, 0.747, 0.253)

## Properties
Space-group type: No. 225
Spin magnetization, μB per formula unit: 0.000
Calculated formation energy, eV/atom: -0.002
DOS at the Fermi energy, states/eV/f.u.: 1.6

=====

Entry 16:
The following is a PBE-GGA calculation of a relaxed structure of Nd2MgGa3Au4, from Alexandria via LeMat-Bulk.

Cell: 4.452 4.452 10.721 Å, 90.00 90.00 90.00°
Fractional coordinates of all 10 atoms:
Nd (0.000, 0.500, 0.238)
Nd (0.500, 0.000, 0.762)
Mg (0.000, 0.000, 0.500)
Ga (0.000, 0.500, 0.869)
Ga (0.500, 0.000, 0.131)
Ga (0.500, 0.500, 0.500)
Au (0.000, 0.000, 0.000)
Au (0.000, 0.500, 0.636)
Au (0.500, 0.000, 0.364)
Au (0.500, 0.500, 0.000)

## Properties
Space-group type: No. 115
Spin magnetization, μB per formula unit: 0.000
Calculated formation energy, eV/atom: -0.647
DOS at the Fermi energy, states/eV/f.u.: 6.5

=====

Entry 17:
The following is a PBE-GGA calculation of a relaxed structure of NdMgGa2Au5, from Alexandria via LeMat-Bulk.

Cell: 4.868 4.868 7.963 Å, 90.00 90.00 90.00°
Fractional coordinates of all 9 atoms:
Nd (0.000, 0.000, 0.000)
Mg (0.000, 0.000, 0.500)
Ga (0.500, 0.500, 0.346)
Ga (0.500, 0.500, 0.654)
Au (0.000, 0.500, 0.245)
Au (0.000, 0.500, 0.755)
Au (0.500, 0.000, 0.245)
Au (0.500, 0.000, 0.755)
Au (0.500, 0.500, 0.000)

## Properties
Space-group type: No. 123
Spin magnetization, μB per formula unit: 0.000
Calculated formation energy, eV/atom: -0.381
DOS at the Fermi energy, states/eV/f.u.: 2.6

=====

Entry 18:
The following is a PBE-GGA calculation of a relaxed structure of NdMgGa2Au2, from Alexandria via LeMat-Bulk.

Cell: 4.473 4.473 7.138 Å, 90.00 90.00 120.00°
Fractional coordinates of all 6 atoms:
Nd (0.000, 0.000, 0.000)
Mg (0.000, 0.000, 0.500)
Ga (0.333, 0.667, 0.725)
Ga (0.667, 0.333, 0.275)
Au (0.333, 0.667, 0.301)
Au (0.667, 0.333, 0.699)

## Properties
Space-group type: No. 164
Spin magnetization, μB per formula unit: 0.000
Calculated formation energy, eV/atom: -0.638
DOS at the Fermi energy, states/eV/f.u.: 2.9

=====

Entry 19:
The following is a PBE-GGA calculation of a relaxed structure of NdMgGaAu, from Alexandria via LeMat-Bulk.

Cell: 4.995 4.995 4.995 Å, 60.00 60.00 60.00°
Fractional coordinates of all 4 atoms:
Nd (0.000, 0.000, 0.000)
Mg (0.500, 0.500, 0.500)
Ga (0.750, 0.750, 0.750)
Au (0.250, 0.250, 0.250)

## Properties
Space-group type: No. 216
Spin magnetization, μB per formula unit: 0.000
Calculated formation energy, eV/atom: -0.608
DOS at the Fermi energy, states/eV/f.u.: 1.6

=====

Entry 20:
The following is a PBE-GGA calculation of a relaxed structure of NdMg2GaAu4, from Alexandria via LeMat-Bulk.

Cell: 9.250 9.250 9.250 Å, 28.87 28.87 28.87°
Fractional coordinates of all 8 atoms:
Nd (0.000, 0.000, 0.000)
Mg (0.239, 0.239, 0.239)
Mg (0.761, 0.761, 0.761)
Ga (0.500, 0.500, 0.500)
Au (0.128, 0.128, 0.128)
Au (0.395, 0.395, 0.395)
Au (0.605, 0.605, 0.605)
Au (0.872, 0.872, 0.872)

## Properties
Space-group type: No. 166
Spin magnetization, μB per formula unit: 0.000
Calculated formation energy, eV/atom: -0.567
DOS at the Fermi energy, states/eV/f.u.: 3.2